a.
Entry from Alexandria: a relaxed structure of InHgI2 (PBE).

Properties
DOS(E_F) = 3.4 states/eV per cell
symmetry = No. 166

The structure in CIF format:
```
data_InHgI2
_cell_length_a 4.3248
_cell_length_b 4.3248
_cell_length_c 10.8622
_cell_angle_alpha 78.52
_cell_angle_beta 78.52
_cell_angle_gamma 60.00
_space_group_name_H-M_alt 'P 1'
_space_group_IT_number 1
_space_group_name_Hall 'P 1'
loop_
_atom_site_label
_atom_site_fract_x
_atom_site_fract_y
_atom_site_fract_z
Hg1 0.5000 0.5000 0.5000
I1 0.7274 0.7274 0.8179
In1 0.0000 0.0000 0.0000
I2 0.2726 0.2726 0.1821
```

b.
Entry from Alexandria: a relaxed structure of InHgI2 (PBE).

Properties
DOS(E_F) = 0.9 states/eV per cell
symmetry = No. 122

The structure in CIF format:
```
data_InHgI2
_cell_length_a 6.7721
_cell_length_b 6.7721
_cell_length_c 10.1204
_cell_angle_alpha 70.45
_cell_angle_beta 70.45
_cell_angle_gamma 90.00
_space_group_name_H-M_alt 'P 1'
_space_group_IT_number 1
_space_group_name_Hall 'P 1'
loop_
_atom_site_label
_atom_site_fract_x
_atom_site_fract_y
_atom_site_fract_z
I1 0.3750 0.3317 0.7500
Hg1 0.7500 0.2500 0.5000
Hg2 0.0000 0.0000 0.0000
I2 0.0817 0.6250 0.2500
I3 0.8750 0.9183 0.7500
I4 0.6683 0.1250 0.2500
In1 0.5000 0.5000 0.0000
In2 0.2500 0.7500 0.5000
```

Relative energies in eV/atom: a 0.000; b 0.080

a.
Entry from Alexandria: a relaxed structure of InHgI2 (PBE).

Properties
DOS(E_F) = 2.8 states/eV per cell
symmetry = No. 8

The structure in CIF format:
```
data_InHgI2
_cell_length_a 4.5998
_cell_length_b 4.5812
_cell_length_c 14.8285
_cell_angle_alpha 90.00
_cell_angle_beta 108.04
_cell_angle_gamma 90.00
_space_group_name_H-M_alt 'P 1'
_space_group_IT_number 1
_space_group_name_Hall 'P 1'
loop_
_atom_site_label
_atom_site_fract_x
_atom_site_fract_y
_atom_site_fract_z
Hg1 0.9982 0.0000 0.2910
In1 0.2105 0.0000 0.5000
I1 0.7240 0.5000 0.5149
I2 0.7240 0.0000 0.0149
I3 0.4294 0.0000 0.7211
In2 0.2105 0.5000 0.0000
Hg2 0.9982 0.5000 0.7910
I4 0.4294 0.5000 0.2211
```

b.
Entry from Alexandria: a relaxed structure of InHgI2 (PBE).

Properties
DOS(E_F) = 3.9 states/eV per cell
symmetry = No. 225

The structure in CIF format:
```
data_InHgI2
_cell_length_a 5.7723
_cell_length_b 5.7723
_cell_length_c 5.7723
_cell_angle_alpha 60.00
_cell_angle_beta 60.00
_cell_angle_gamma 60.00
_space_group_name_H-M_alt 'P 1'
_space_group_IT_number 1
_space_group_name_Hall 'P 1'
loop_
_atom_site_label
_atom_site_fract_x
_atom_site_fract_y
_atom_site_fract_z
I1 0.2500 0.2500 0.2500
Hg1 0.5000 0.5000 0.5000
In1 0.0000 0.0000 0.0000
I2 0.7500 0.7500 0.7500
```

c.
Entry from Alexandria: a relaxed structure of InHgI2 (PBE).

Properties
DOS(E_F) = 1.0 states/eV per cell
symmetry = No. 6

The structure in CIF format:
```
data_InHgI2
_cell_length_a 5.9579
_cell_length_b 4.2223
_cell_length_c 6.5853
_cell_angle_alpha 90.00
_cell_angle_beta 112.18
_cell_angle_gamma 90.00
_space_group_name_H-M_alt 'P 1'
_space_group_IT_number 1
_space_group_name_Hall 'P 1'
loop_
_atom_site_label
_atom_site_fract_x
_atom_site_fract_y
_atom_site_fract_z
Hg1 0.1973 0.0000 0.8742
I1 0.4463 0.5000 0.6541
In1 0.9371 0.5000 0.0135
I2 0.7813 0.0000 0.2736
```

Relative energies in eV/atom: a 0.035; b 0.140; c 0.000